Entry 1:
The following is a DFT calculation (PBE) of a relaxed structure of LaZrP2O.

Calculated values
Offset from the most stable computed form   121.0 kJ/mol of atoms

Cell: 5.403 5.403 4.121 Å, 90.00 90.00 90.00°
Fractional positions:
La 0.000 0.000 0.000
Zr 0.500 0.500 0.500
P 0.000 0.500 0.000
P 0.500 0.000 0.000
O 0.000 0.000 0.500



Entry 2:
The following is a DFT calculation (PBE) of a relaxed structure of LaZrP2O.

Calculated values
Offset from the most stable computed form   0.0 kJ/mol of atoms

Cell: 5.116 5.116 4.103 Å, 90.00 90.00 90.00°
Fractional positions:
La 0.000 0.000 0.000
Zr 0.500 0.500 0.500
P 0.000 0.500 0.500
P 0.500 0.000 0.500
O 0.500 0.500 0.000



Entry 3:
The following is a DFT calculation (PBE) of a relaxed structure of LaPa2O7.

Cell: 10.945 10.945 10.945 Å, 20.71 20.71 20.71°
Fractional positions:
La 0.000 0.000 0.000
Pa 0.433 0.433 0.433
Pa 0.567 0.567 0.567
O 0.079 0.079 0.079
O 0.218 0.218 0.218
O 0.364 0.364 0.364
O 0.500 0.500 0.500
O 0.636 0.636 0.636
O 0.782 0.782 0.782
O 0.921 0.921 0.921



Entry 4:
The following is a DFT calculation (PBE) of a relaxed structure of LaPaO2.

Cell: 3.790 3.790 19.442 Å, 90.00 90.00 120.00°
Fractional positions:
La 0.000 0.000 0.000
La 0.333 0.667 0.667
La 0.667 0.333 0.333
Pa 0.000 0.000 0.500
Pa 0.333 0.667 0.167
Pa 0.667 0.333 0.833
O 0.000 0.000 0.128
O 0.000 0.000 0.872
O 0.333 0.667 0.538
O 0.333 0.667 0.795
O 0.667 0.333 0.205
O 0.667 0.333 0.462



Entry 5:
The following is a DFT calculation (PBE) of a relaxed structure of LaPaO.

Cell: 3.384 6.488 11.643 Å, 90.00 90.00 90.00°
Fractional positions:
La 0.250 0.250 0.000
La 0.250 0.750 0.500
La 0.750 0.250 0.500
La 0.750 0.750 0.000
Pa 0.250 0.250 0.693
Pa 0.250 0.750 0.193
Pa 0.750 0.250 0.193
Pa 0.750 0.750 0.693
O 0.250 0.249 0.328
O 0.250 0.749 0.828
O 0.750 0.251 0.828
O 0.750 0.751 0.328



Entry 6:
The following is a DFT calculation (PBE) of a relaxed structure of La3PaO6.

Cell: 7.132 7.132 7.132 Å, 89.63 89.63 89.63°
Fractional positions:
La 0.031 0.744 0.560
La 0.256 0.440 0.969
La 0.440 0.969 0.256
La 0.560 0.031 0.744
La 0.744 0.560 0.031
La 0.969 0.256 0.440
Pa 0.000 0.000 0.000
Pa 0.500 0.500 0.500
O 0.043 0.700 0.919
O 0.081 0.957 0.300
O 0.193 0.449 0.604
O 0.300 0.081 0.957
O 0.396 0.807 0.551
O 0.449 0.604 0.193
O 0.551 0.396 0.807
O 0.604 0.193 0.449
O 0.700 0.919 0.043
O 0.807 0.551 0.396
O 0.919 0.043 0.700
O 0.957 0.300 0.081



| no. | formation energy without anion corrections (eV/atom) |
| --- | --- |
| 1 | -0.188 |
| 2 | -1.441 |
| 3 | -3.363 |
| 4 | -2.615 |
| 5 | -1.257 |
| 6 | -3.331 |